VASP calculation (PBE) on a relaxed Ni2PIr crystal.

## Properties
The calculation puts the density of states at the Fermi level at 1.109 states/eV per atom. The calculation puts the total DFT energy (no corrections) at -25.98 eV per cell. For the density, the calculation gives 11.80 g cm⁻³.

a = 2.8158 Å, b = 2.8158 Å, c = 6.0443 Å
α = 90.00°, β = 90.00°, γ = 90.00°
Space group P4/mmm (No. 123)
Asymmetric unit:
Ni  0.0000  0.0000  0.2138
P  0.5000  0.5000  0.0000
Ir  0.5000  0.5000  0.5000

***

VASP calculation (PBE) on a relaxed NiP2Ir crystal.

## Properties
The calculation puts the density of states at the Fermi level at 0.496 states/eV per atom. The calculation puts the total DFT energy (no corrections) at -50.43 eV per cell. For the density, the calculation gives 9.95 g cm⁻³.

a = 2.8917 Å, b = 4.3488 Å, c = 8.3054 Å
α = 90.00°, β = 90.00°, γ = 90.00°
Space group Imm2 (No. 44)
Asymmetric unit:
Ni  0.0000  0.0000  0.0000
P  0.0000  0.0000  0.4658
P  0.0000  0.5000  0.7175
Ir  0.0000  0.5000  0.1990

***

VASP calculation (PBE) on a relaxed NiPIr2 crystal.

## Properties
The calculation puts the density of states at the Fermi level at 1.025 states/eV per atom. The calculation puts the total DFT energy (no corrections) at -109.36 eV per cell. For the density, the calculation gives 10.70 g cm⁻³.

a = 5.2467 Å, b = 5.2467 Å, c = 10.6886 Å
α = 90.00°, β = 90.00°, γ = 90.00°
Space group I-42d (No. 122)
Asymmetric unit:
Ni  0.0000  0.0000  0.0000
P  0.0000  0.0000  0.5000
Ir  0.2302  0.2500  0.6250